! MgMoCl2O | Alexandria | GGA+U | relaxed; values from VASP
! N(E_F) (states/eV/atom): 0.203
! Magnetization (μB per cell): 4.015
! Electronic total energy (eV for the cell shown): -16.5
&SYSTEM
  ibrav = 0, nat = 5, ntyp = 4
/
ATOMIC_SPECIES
Mg 24.30 Mg.upf
Mo 95.94 Mo.upf
Cl 35.45 Cl.upf
O 16.00 O.upf
CELL_PARAMETERS angstrom
4.8143 0.0000 0.0000
0.0000 4.8143 0.0000
0.0000 0.0000 5.9341
ATOMIC_POSITIONS angstrom
Mg 0.0000 0.0000 0.0000
Mo 0.0000 0.0000 2.9670
Cl 0.0000 2.4072 2.9670
Cl 2.4072 0.0000 2.9670
O 2.4072 2.4072 0.0000